{
  "formula": "NdHo2Zr",
  "functional": "PBE-GGA",
  "state": "relaxed",
  "formation_energy_mev_per_atom": 170,
  "sg": "P4/mmm",
  "polymorph_energy_mev_per_atom": 90,
  "cell": [[4.011, 0.000, 0.000], [0.000, 4.011, 0.000], [0.000, 0.000, 7.417]],
  "species": ["Nd", "Ho", "Ho", "Zr"],
  "frac_coords": [[0.500, 0.500, 0.500], [0.000, 0.000, 0.781], [0.000, 0.000, 0.219], [0.500, 0.500, 0.000]]
}

---

{
  "formula": "NdHo2Zr",
  "functional": "PBE-GGA",
  "state": "relaxed",
  "formation_energy_mev_per_atom": 107,
  "sg": "P4/mmm",
  "polymorph_energy_mev_per_atom": 27,
  "cell": [[-1.204, -1.307, -4.566], [-0.694, -4.604, 1.501], [-4.691, 1.016, 0.946]],
  "species": ["Nd", "Ho", "Ho", "Zr"],
  "frac_coords": [[0.500, 0.500, 0.500], [0.000, 0.000, 0.500], [0.000, 0.500, 0.000], [0.500, 0.000, 0.000]]
}

---

{
  "formula": "Nd3Ho12Zr",
  "functional": "PBE-GGA",
  "state": "relaxed",
  "formation_energy_mev_per_atom": 38,
  "sg": "P4/mmm",
  "cell": [[-3.828, -1.580, -2.782], [1.018, -4.714, 1.277], [-12.155, 1.653, 15.785]],
  "species": ["Nd", "Nd", "Nd", "Ho", "Ho", "Ho", "Ho", "Ho", "Ho", "Ho", "Ho", "Ho", "Ho", "Ho", "Ho", "Zr"],
  "frac_coords": [[0.000, 0.000, 0.247], [0.000, 0.000, 0.500], [0.000, 0.000, 0.753], [0.500, 0.500, 0.000], [0.500, 0.500, 0.245], [0.500, 0.500, 0.500], [0.500, 0.500, 0.755], [0.500, 0.000, 0.116], [0.500, 0.000, 0.372], [0.500, 0.000, 0.628], [0.500, 0.000, 0.884], [0.000, 0.500, 0.116], [0.000, 0.500, 0.372], [0.000, 0.500, 0.628], [0.000, 0.500, 0.884], [0.000, 0.000, 0.000]]
}

---

{
  "formula": "NdHo2Zr",
  "functional": "PBE-GGA",
  "state": "relaxed",
  "formation_energy_mev_per_atom": 81,
  "sg": "R3m",
  "polymorph_energy_mev_per_atom": 0,
  "cell": [[3.473, 0.000, 0.000], [1.736, 3.007, 0.000], [1.736, 1.002, 11.315]],
  "species": ["Nd", "Ho", "Ho", "Zr"],
  "frac_coords": [[0.500, 0.500, 0.499], [0.077, 0.077, 0.769], [0.256, 0.256, 0.231], [0.667, 0.667, 0.000]]
}

---

{
  "formula": "Nd12Ho7Zr",
  "functional": "PBE-GGA",
  "state": "relaxed",
  "formation_energy_mev_per_atom": 213,
  "sg": "R-3",
  "cell": [[-0.195, -5.167, -3.411], [11.271, 0.573, 2.237], [-6.881, -3.017, 8.713]],
  "species": ["Nd", "Nd", "Nd", "Nd", "Nd", "Nd", "Nd", "Nd", "Nd", "Nd", "Nd", "Nd", "Ho", "Ho", "Ho", "Ho", "Ho", "Ho", "Ho", "Zr"],
  "frac_coords": [[0.088, 0.587, 0.175], [0.088, 0.175, 0.588], [0.574, 0.648, 0.001], [0.427, 0.001, 0.353], [0.499, 0.412, 0.587], [0.074, 0.647, 0.648], [0.926, 0.353, 0.352], [0.501, 0.588, 0.413], [0.573, 0.999, 0.647], [0.426, 0.352, 0.999], [0.912, 0.825, 0.412], [0.912, 0.413, 0.825], [0.116, 0.760, 0.001], [0.885, 0.001, 0.241], [0.643, 0.759, 0.760], [0.500, 0.000, 0.000], [0.357, 0.241, 0.240], [0.115, 0.999, 0.759], [0.884, 0.240, 0.999], [0.000, 0.000, 0.000]]
}

---

{
  "formula": "Ho3Ni",
  "functional": "PBE-GGA",
  "state": "relaxed",
  "formation_energy_mev_per_atom": -258,
  "sg": "Pnma",
  "cell": [[-5.366, -1.430, 2.945], [-2.129, -3.373, -5.519], [3.964, -7.979, 3.348]],
  "species": ["Ho", "Ho", "Ho", "Ho", "Ho", "Ho", "Ho", "Ho", "Ho", "Ho", "Ho", "Ho", "Ni", "Ni", "Ni", "Ni"],
  "frac_coords": [[0.322, 0.679, 0.066], [0.178, 0.179, 0.434], [0.678, 0.321, 0.566], [0.822, 0.821, 0.934], [0.678, 0.321, 0.934], [0.822, 0.821, 0.566], [0.322, 0.679, 0.434], [0.178, 0.179, 0.066], [0.861, 0.533, 0.250], [0.639, 0.033, 0.250], [0.139, 0.467, 0.750], [0.361, 0.967, 0.750], [0.054, 0.890, 0.250], [0.446, 0.390, 0.250], [0.946, 0.110, 0.750], [0.554, 0.610, 0.750]]
}

---

{
  "formula": "Ho3Ni",
  "functional": "PBE-GGA",
  "state": "relaxed",
  "formation_energy_mev_per_atom": 3,
  "sg": "Pmm2",
  "cell": [[3.538, 0.000, 0.000], [0.000, 3.455, 0.000], [0.000, 0.000, 8.896]],
  "species": ["Ni", "Ho", "Ho", "Ho"],
  "frac_coords": [[0.000, 0.000, 0.989], [0.000, 0.500, 0.467], [0.500, 0.500, 0.122], [0.500, 0.000, 0.755]]
}

---

{
  "formula": "Ho2Ni7",
  "functional": "PBE-GGA",
  "state": "relaxed",
  "formation_energy_mev_per_atom": -399,
  "sg": "R-3m",
  "cell": [[-1.524, -4.326, 1.794], [2.624, -4.080, -0.850], [6.668, -0.848, 10.382]],
  "species": ["Ho", "Ho", "Ho", "Ho", "Ni", "Ni", "Ni", "Ni", "Ni", "Ni", "Ni", "Ni", "Ni", "Ni", "Ni", "Ni", "Ni", "Ni"],
  "frac_coords": [[0.051, 0.051, 0.848], [0.949, 0.949, 0.152], [0.147, 0.147, 0.559], [0.853, 0.853, 0.441], [0.500, 0.500, 0.500], [0.278, 0.278, 0.166], [0.722, 0.722, 0.834], [0.388, 0.388, 0.835], [0.612, 0.612, 0.165], [0.500, 0.000, 0.000], [0.000, 0.500, 0.000], [0.500, 0.500, 0.000], [0.610, 0.610, 0.670], [0.610, 0.109, 0.670], [0.109, 0.610, 0.670], [0.390, 0.390, 0.330], [0.390, 0.891, 0.330], [0.891, 0.390, 0.330]]
}